(1)
# Si2W2S, relaxed, DFT PBEsol
# Calculated total energy ... -7.376 eV/atom
# Formation energy (no corrections) ... 1323.0 meV/atom
# Space-group type ... No. 123
# Crystal system ... tetragonal
# Density ... 9.38 g/cm³
# D(E_F) ... 0.923 states/eV/atom
data_Si2W2S
_chemical_formula_sum 'Si2 W2 S1'
_cell_length_a 4.2726
_cell_length_b 4.3472
_cell_length_c 4.3472
_cell_angle_alpha 90.00
_cell_angle_beta 90.00
_cell_angle_gamma 90.00
_space_group_name_H-M_alt 'P 1'
_space_group_IT_number 1
loop_
_space_group_symop_operation_xyz
'x,y,z'
loop_
_atom_site_label
_atom_site_fract_x
_atom_site_fract_y
_atom_site_fract_z
S1 0.0000 0.0000 0.0000
Si1 0.0000 0.0000 0.5000
Si2 0.0000 0.5000 0.0000
W1 0.5000 0.5000 0.5000
W2 0.5000 0.0000 0.0000



(2)
# YSiS2, relaxed, DFT PBEsol
# Calculated total energy ... -6.228 eV/atom
# Formation energy (no corrections) ... -894.0 meV/atom
# Space-group type ... No. 166
# Crystal system ... trigonal
# Density ... 3.08 g/cm³
# D(E_F) ... 0.239 states/eV/atom
data_YSiS2
_chemical_formula_sum 'Y1 Si1 S2'
_cell_length_a 3.7753
_cell_length_b 3.7753
_cell_length_c 8.2135
_cell_angle_alpha 76.71
_cell_angle_beta 76.71
_cell_angle_gamma 60.00
_space_group_name_H-M_alt 'P 1'
_space_group_IT_number 1
loop_
_space_group_symop_operation_xyz
'x,y,z'
loop_
_atom_site_label
_atom_site_fract_x
_atom_site_fract_y
_atom_site_fract_z
Y1 0.5000 0.5000 0.5000
S1 0.8986 0.8986 0.3042
S2 0.1014 0.1014 0.6958
Si1 0.0000 0.0000 0.0000



(3)
# Y6ZnSi2S14, relaxed, DFT PBEsol
# Calculated total energy ... -6.680 eV/atom
# Formation energy (no corrections) ... -1663.2 meV/atom
# Space-group type ... No. 143
# Crystal system ... trigonal
# Density ... 4.01 g/cm³
# D(E_F) ... 0.000 states/eV/atom
data_Y6ZnSi2S14
_chemical_formula_sum 'Y6 Zn1 Si2 S14'
_cell_length_a 5.5717
_cell_length_b 9.7362
_cell_length_c 9.7362
_cell_angle_alpha 120.00
_cell_angle_beta 90.00
_cell_angle_gamma 90.00
_space_group_name_H-M_alt 'P 1'
_space_group_IT_number 1
loop_
_space_group_symop_operation_xyz
'x,y,z'
loop_
_atom_site_label
_atom_site_fract_x
_atom_site_fract_y
_atom_site_fract_z
Y1 0.2511 0.3567 0.1284
Y2 0.2511 0.8716 0.2282
Y3 0.2511 0.7718 0.6433
Y4 0.7536 0.6428 0.8710
Y5 0.7536 0.1290 0.7719
Y6 0.7536 0.2281 0.3572
Zn1 0.4901 0.0000 0.0000
Si1 0.8343 0.6667 0.3333
Si2 0.3413 0.3333 0.6667
S1 0.4585 0.6667 0.3333
S2 0.9646 0.3333 0.6667
S3 0.7214 0.2507 0.0925
S4 0.7214 0.9075 0.1583
S5 0.7214 0.8417 0.7493
S6 0.2384 0.7484 0.9096
S7 0.2384 0.0904 0.8388
S8 0.2384 0.1612 0.2516
S9 0.9863 0.5201 0.4167
S10 0.9863 0.5833 0.1034
S11 0.9863 0.8966 0.4799
S12 0.4915 0.4799 0.5831
S13 0.4915 0.4169 0.8968
S14 0.4915 0.1032 0.5201



(4)
# Zn2SiS, relaxed, DFT PBEsol
# Calculated total energy ... -3.293 eV/atom
# Formation energy (no corrections) ... 30.2 meV/atom
# Space-group type ... No. 122
# Crystal system ... tetragonal
# Density ... 3.96 g/cm³
# D(E_F) ... 0.245 states/eV/atom
data_Zn2SiS
_chemical_formula_sum 'Zn4 Si2 S2'
_cell_length_a 5.7191
_cell_length_b 6.3534
_cell_length_c 5.7191
_cell_angle_alpha 63.25
_cell_angle_beta 90.00
_cell_angle_gamma 116.75
_space_group_name_H-M_alt 'P 1'
_space_group_IT_number 1
loop_
_space_group_symop_operation_xyz
'x,y,z'
loop_
_atom_site_label
_atom_site_fract_x
_atom_site_fract_y
_atom_site_fract_z
Zn1 0.1113 0.7500 0.8750
Zn2 0.6387 0.7500 0.3750
Zn3 0.3750 0.2500 0.1113
Zn4 0.8750 0.2500 0.6387
Si1 0.2500 0.5000 0.2500
Si2 0.5000 0.0000 0.5000
S1 0.7500 0.5000 0.7500
S2 0.0000 0.0000 0.0000



(5)
# ZrSiS, relaxed, DFT PBEsol
# Calculated total energy ... -7.740 eV/atom
# Formation energy (no corrections) ... -1333.6 meV/atom
# Space-group type ... No. 129
# Crystal system ... tetragonal
# Density ... 5.06 g/cm³
# D(E_F) ... 0.144 states/eV/atom
data_ZrSiS
_chemical_formula_sum 'Zr2 Si2 S2'
_cell_length_a 3.5197
_cell_length_b 3.5197
_cell_length_c 8.0138
_cell_angle_alpha 90.00
_cell_angle_beta 90.00
_cell_angle_gamma 90.00
_space_group_name_H-M_alt 'P 1'
_space_group_IT_number 1
loop_
_space_group_symop_operation_xyz
'x,y,z'
loop_
_atom_site_label
_atom_site_fract_x
_atom_site_fract_y
_atom_site_fract_z
S1 0.5000 0.0000 0.6205
S2 0.0000 0.5000 0.3795
Si1 0.0000 0.0000 0.0000
Si2 0.5000 0.5000 0.0000
Zr1 0.0000 0.5000 0.7288
Zr2 0.5000 0.0000 0.2712



(6)
# Sm2S3, relaxed, DFT PBEsol
# Calculated total energy ... -6.794 eV/atom
# Formation energy (no corrections) ... -2126.2 meV/atom
# Space-group type ... No. 122
# Crystal system ... tetragonal
# Density ... 6.05 g/cm³
# D(E_F) ... 0.000 states/eV/atom
data_Sm2S3
_chemical_formula_sum 'Sm16 S24'
_cell_length_a 8.3482
_cell_length_b 8.3482
_cell_length_c 13.8257
_cell_angle_alpha 107.57
_cell_angle_beta 107.57
_cell_angle_gamma 90.00
_space_group_name_H-M_alt 'P 1'
_space_group_IT_number 1
loop_
_space_group_symop_operation_xyz
'x,y,z'
loop_
_atom_site_label
_atom_site_fract_x
_atom_site_fract_y
_atom_site_fract_z
Sm1 0.5839 0.0839 0.1677
Sm2 0.0056 0.3750 0.2500
Sm3 0.6661 0.6661 0.3323
Sm4 0.9678 0.0744 0.4209
Sm5 0.4531 0.3465 0.4209
Sm6 0.2444 0.8750 0.2500
Sm7 0.6535 0.0322 0.5791
Sm8 0.6250 0.7556 0.7500
Sm9 0.3339 0.3339 0.6677
Sm10 0.1250 0.9944 0.7500
Sm11 0.9256 0.5469 0.5791
Sm12 0.9161 0.4161 0.8323
Sm13 0.3244 0.7178 0.9209
Sm14 0.2822 0.4035 0.0791
Sm15 0.7969 0.6756 0.0791
Sm16 0.5965 0.2031 0.9209
S1 0.4938 0.7413 0.1344
S2 0.2835 0.1783 0.2078
S3 0.6406 0.3931 0.1344
S4 0.7562 0.3569 0.3656
S5 0.6094 0.0087 0.3656
S6 0.3257 0.5717 0.2922
S7 0.9243 0.0295 0.2078
S8 0.1538 0.4046 0.4684
S9 0.9665 0.7205 0.2922
S10 0.9362 0.8462 0.5316
S11 0.3146 0.0638 0.4684
S12 0.4283 0.0335 0.7078
S13 0.2795 0.6743 0.7078
S14 0.5954 0.6854 0.5316
S15 0.9913 0.2438 0.6344
S16 0.8217 0.0757 0.7922
S17 0.6431 0.3906 0.6344
S18 0.6069 0.5062 0.8656
S19 0.9705 0.7165 0.7922
S20 0.0962 0.6862 0.0316
S21 0.9354 0.3454 0.0316
S22 0.2587 0.3594 0.8656
S23 0.6546 0.9038 0.9684
S24 0.3138 0.0646 0.9684



(7)
# Sm2S3, relaxed, DFT PBEsol
# Calculated total energy ... -6.800 eV/atom
# Formation energy (no corrections) ... -2132.6 meV/atom
# Space-group type ... No. 62
# Crystal system ... orthorhombic
# Density ... 6.00 g/cm³
data_Sm2S3
_chemical_formula_sum 'Sm8 S12'
_cell_length_a 3.9456
_cell_length_b 7.3080
_cell_length_c 15.2474
_cell_angle_alpha 90.00
_cell_angle_beta 90.00
_cell_angle_gamma 90.00
_space_group_name_H-M_alt 'P 1'
_space_group_IT_number 1
loop_
_space_group_symop_operation_xyz
'x,y,z'
loop_
_atom_site_label
_atom_site_fract_x
_atom_site_fract_y
_atom_site_fract_z
Sm1 0.7500 0.3577 0.7044
Sm2 0.2500 0.6423 0.2956
Sm3 0.7500 0.8577 0.7956
Sm4 0.2500 0.1423 0.2044
Sm5 0.7500 0.7348 0.0435
Sm6 0.2500 0.2652 0.9565
Sm7 0.7500 0.2348 0.4565
Sm8 0.2500 0.7652 0.5435
S1 0.7500 0.1253 0.0674
S2 0.2500 0.8747 0.9326
S3 0.7500 0.6253 0.4326
S4 0.2500 0.3747 0.5674
S5 0.7500 0.3538 0.2811
S6 0.2500 0.6462 0.7189
S7 0.7500 0.8538 0.2189
S8 0.2500 0.1462 0.7811
S9 0.2500 0.0067 0.3903
S10 0.7500 0.9933 0.6097
S11 0.2500 0.5067 0.1097
S12 0.7500 0.4933 0.8903



(8)
# SrSm2S4, relaxed, DFT PBEsol
# Calculated total energy ... -6.377 eV/atom
# Formation energy (no corrections) ... -2154.0 meV/atom
# Space-group type ... No. 122
# Crystal system ... tetragonal
# Density ... 5.62 g/cm³
# D(E_F) ... 0.000 states/eV/atom
data_SrSm2S4
_chemical_formula_sum 'Sr2 Sm4 S8'
_cell_length_a 7.3456
_cell_length_b 7.3456
_cell_length_c 7.3456
_cell_angle_alpha 109.43
_cell_angle_beta 109.43
_cell_angle_gamma 109.56
_space_group_name_H-M_alt 'P 1'
_space_group_IT_number 1
loop_
_space_group_symop_operation_xyz
'x,y,z'
loop_
_atom_site_label
_atom_site_fract_x
_atom_site_fract_y
_atom_site_fract_z
Sr1 0.5000 0.5000 0.0000
Sr2 0.7500 0.2500 0.5000
Sm1 0.2521 0.8750 0.8771
Sm2 0.6250 0.7479 0.6229
Sm3 0.9979 0.3750 0.1229
Sm4 0.1250 0.0021 0.3771
S1 0.7306 0.9790 0.0934
S2 0.2290 0.4806 0.5934
S3 0.8872 0.6355 0.4066
S4 0.0210 0.1145 0.7516
S5 0.3645 0.7710 0.2516
S6 0.8855 0.6372 0.9066
S7 0.3628 0.2694 0.2484
S8 0.5194 0.1128 0.7484



(9)
# Tb2SmS4, relaxed, DFT PBEsol
# Calculated total energy ... -6.774 eV/atom
# Formation energy (no corrections) ... -2109.6 meV/atom
# Space-group type ... No. 122
# Crystal system ... tetragonal
# Density ... 7.01 g/cm³
# D(E_F) ... 0.430 states/eV/atom
data_Tb2SmS4
_chemical_formula_sum 'Tb4 Sm2 S8'
_cell_length_a 7.1635
_cell_length_b 7.1635
_cell_length_c 7.1635
_cell_angle_alpha 108.54
_cell_angle_beta 108.54
_cell_angle_gamma 111.36
_space_group_name_H-M_alt 'P 1'
_space_group_IT_number 1
loop_
_space_group_symop_operation_xyz
'x,y,z'
loop_
_atom_site_label
_atom_site_fract_x
_atom_site_fract_y
_atom_site_fract_z
Tb1 0.2712 0.8750 0.8962
Tb2 0.1250 0.0212 0.3962
Tb3 0.9788 0.3750 0.1038
Tb4 0.6250 0.7288 0.6038
Sm1 0.7500 0.2500 0.5000
Sm2 0.5000 0.5000 0.0000
S1 0.3743 0.7716 0.2562
S2 0.3681 0.2654 0.2438
S3 0.8757 0.6319 0.8973
S4 0.2284 0.4846 0.6027
S5 0.0216 0.1243 0.7562
S6 0.7346 0.9784 0.1027
S7 0.8819 0.6257 0.3973
S8 0.5154 0.1181 0.7438